(1)
Entry from Alexandria via LeMat-Bulk: a geometry-optimized CaPmHo4 structure (GGA-PBE).

## Properties
The total energy is -3.960 eV/atom. The energy relative to the elements is 0.2172 eV per atom.

a = 9.4040 Å, b = 9.4040 Å, c = 9.4040 Å
α = 90.00°, β = 90.00°, γ = 90.00°
Last column: nearest neighbours and their distance in Å.
Space group F-43m (No. 216)
One atom of each set of equivalent atoms:
Ca1 0.0000 0.0000 0.0000  12 Ho 3.90, 4 Pm 4.07
Pm1 0.2500 0.2500 0.2500  12 Ho 3.90, 4 Ca 4.07
Ho1 0.1237 0.1237 0.6237  6 Ho 3.29-3.36


(2)
Entry from Alexandria via LeMat-Bulk: a geometry-optimized CaPm6Ho8 structure (GGA-PBE).

## Properties
The total energy is -4.252 eV/atom. The energy relative to the elements is 0.2231 eV per atom.

a = 9.9032 Å, b = 9.9032 Å, c = 6.1557 Å
α = 90.00°, β = 90.00°, γ = 120.00°
Last column: nearest neighbours and their distance in Å.
Space group P-3 (No. 147)
One atom of each set of equivalent atoms:
Ca1 0.0000 0.0000 0.0000  6 Pm 3.92, 6 Ho 4.22
Pm1 0.1354 0.4441 0.0561  4 Ho 3.34-3.62, 3 Pm 3.44-3.63
Ho1 0.0205 0.6817 0.4356  5 Ho 3.29-3.50, 3 Pm 3.34-3.44
Ho2 0.3333 0.6667 0.5761  6 Ho 3.29-3.48, 3 Pm 3.62


(3)
Entry from Alexandria via LeMat-Bulk: a geometry-optimized CaPm6Ho3 structure (GGA-PBE).

## Properties
The total energy is -4.348 eV/atom. The energy relative to the elements is 0.0755 eV per atom.

a = 12.1461 Å, b = 3.5714 Å, c = 16.2690 Å
α = 90.00°, β = 104.10°, γ = 90.00°
Last column: nearest neighbours and their distance in Å.
Space group P2_1/m (No. 11)
One atom of each set of equivalent atoms:
Ca1 0.1317 0.2500 0.0626  1 Ho 3.57, 4 Ca 3.57-3.79, 7 Pm 3.62-3.84
Pm1 0.1125 0.2500 0.4590  4 Ho 3.42-3.50, 8 Pm 3.57-3.77
Pm2 0.1166 0.7500 0.8512  2 Ho 3.45, 5 Pm 3.57-3.68, 3 Ca 3.62-3.84
Pm3 0.1551 0.7500 0.2740  6 Pm 3.57-3.87, 5 Ho 3.60-3.73, 2 Ca 3.82
Pm4 0.3390 0.7500 0.6136  6 Ho 3.57-3.68, 6 Pm 3.57-3.75
Pm5 0.3628 0.2500 0.8196  3 Ho 3.40-3.61, 9 Pm 3.55-3.75
Pm6 0.3802 0.7500 0.0202  8 Pm 3.55-3.68, 2 Ho 3.65, 2 Ca 3.71
Ho1 0.1129 0.2500 0.6691  9 Pm 3.40-3.60, 2 Ho 3.57
Ho2 0.3836 0.2500 0.4296  6 Pm 3.44-3.72, 5 Ho 3.48-3.64
Ho3 0.3961 0.2500 0.2181  3 Ho 3.48-3.57, 1 Ca 3.57, 7 Pm 3.61-3.73


(4)
Entry from Alexandria via LeMat-Bulk: a geometry-optimized CaPmHo2 structure (GGA-PBE).

## Properties
The total energy is -3.811 eV/atom. The energy relative to the elements is 0.1664 eV per atom. The calculation puts the energy above the most stable polymorph in this dataset at 102 meV/atom.

a = 3.5612 Å, b = 3.5612 Å, c = 37.7262 Å
α = 90.00°, β = 90.00°, γ = 120.00°
Last column: nearest neighbours and their distance in Å.
Space group R-3m (No. 166, hexagonal axes)
One atom of each set of equivalent atoms:
Ca1 0.0000 0.0000 0.0000  2 Ho 3.41, 6 Ca 3.56
Pm1 0.0000 0.0000 0.5000  6 Ho 3.54, 6 Pm 3.56
Ho1 0.0000 0.0000 0.0904  1 Ca 3.41, 3 Pm 3.54, 6 Ho 3.56


(5)
Entry from Alexandria via LeMat-Bulk: a geometry-optimized CaPmHo structure (GGA-PBE).

## Properties
The total energy is -3.717 eV/atom. The energy relative to the elements is 0.0594 eV per atom. The calculation puts the energy above the most stable polymorph in this dataset at 24 meV/atom.

a = 3.6488 Å, b = 3.6488 Å, c = 9.1238 Å
α = 90.00°, β = 90.00°, γ = 120.00°
Last column: nearest neighbours and their distance in Å.
Space group P3m1 (No. 156)
One atom of each set of equivalent atoms:
Ca1 0.0000 0.0000 0.0000  6 Ca 3.65, 3 Ho 3.76, 3 Pm 3.85
Pm1 0.6667 0.3333 0.3534  3 Ho 3.49, 6 Pm 3.65, 3 Ca 3.85
Ho1 0.3333 0.6667 0.6583  3 Pm 3.49, 6 Ho 3.65, 3 Ca 3.76


(6)
Entry from Alexandria via LeMat-Bulk: a geometry-optimized CaPm5Ho6 structure (GGA-PBE).

## Properties
The total energy is -4.391 eV/atom. The energy relative to the elements is 0.0437 eV per atom.

a = 11.9134 Å, b = 10.8087 Å, c = 6.2406 Å
α = 90.00°, β = 100.02°, γ = 90.00°
Last column: nearest neighbours and their distance in Å.
Space group C2/m (No. 12)
One atom of each set of equivalent atoms:
Ca1 0.0000 0.0000 0.0000  6 Pm 3.62-3.65, 6 Ho 3.64-3.65
Pm1 0.0000 0.1699 0.5000  6 Ho 3.52-3.63, 4 Pm 3.57-3.67, 2 Ca 3.62
Pm2 0.0000 0.3375 0.0000  5 Pm 3.51-3.61, 6 Ho 3.56-3.65, 1 Ca 3.65
Pm3 0.0000 0.5000 0.5000  6 Ho 3.55-3.57, 6 Pm 3.57-3.58
Ho1 0.2459 0.3307 0.7466  5 Pm 3.52-3.65, 6 Ho 3.55-3.66, 1 Ca 3.65
Ho2 0.2479 0.5000 0.2560  5 Pm 3.55-3.62, 6 Ho 3.57-3.66, 1 Ca 3.64


(7)
Entry from Alexandria via LeMat-Bulk: a geometry-optimized CaPm2Pr6Ho structure (GGA-PBE).

## Properties
The total energy is -4.353 eV/atom. The energy relative to the elements is 0.1224 eV per atom.

a = 9.2860 Å, b = 15.6993 Å, c = 10.0458 Å
α = 90.00°, β = 99.36°, γ = 90.00°
Last column: nearest neighbours and their distance in Å.
Space group C2/c (No. 15)
One atom of each set of equivalent atoms:
Ca1 0.0000 0.0983 0.2500  8 Pr 3.62-4.05, 2 Pm 3.67
Pm1 0.2492 0.4515 0.0425  5 Pr 3.34-3.54, 2 Ho 3.45-3.54, 1 Ca 3.67
Pr1 0.0576 0.3236 0.4474  5 Pr 3.46-3.86, 1 Pm 3.50, 1 Ho 3.70
Pr2 0.1098 0.1065 0.6237  3 Pr 3.32-3.50, 3 Pm 3.34-3.52, 1 Ca 3.66
Pr3 0.1977 0.2739 0.8224  4 Pr 3.32-3.70, 1 Pm 3.54, 1 Ca 3.62, 1 Ho 3.69
Ho1 0.0000 0.4766 0.7500  4 Pm 3.45-3.54, 4 Pr 3.69-3.70


(8)
Entry from Alexandria via LeMat-Bulk: a geometry-optimized CaPm6Pr2Ho3 structure (GGA-PBE).

## Properties
The total energy is -4.454 eV/atom. The energy relative to the elements is 0.0296 eV per atom.

a = 6.3145 Å, b = 10.9396 Å, c = 12.0328 Å
α = 90.00°, β = 100.03°, γ = 90.00°
Last column: nearest neighbours and their distance in Å.
Space group C2/m (No. 12)
One atom of each set of equivalent atoms:
Ca1 0.0000 0.0000 0.0000  6 Pr 3.64-3.65, 6 Pm 3.72
Pm1 0.2448 0.3312 0.7428  3 Ho 3.55-3.57, 6 Pm 3.62-3.69, 2 Pr 3.69-3.70, 1 Ca 3.72
Pm2 0.2491 0.5000 0.2578  3 Ho 3.54-3.56, 6 Pm 3.62-3.69, 2 Pr 3.71, 1 Ca 3.72
Pr1 0.0000 0.3331 0.0000  3 Pr 3.64-3.65, 3 Ca 3.64-3.65, 6 Pm 3.69-3.71
Ho1 0.0000 0.1658 0.5000  6 Pm 3.55-3.57, 6 Ho 3.63-3.66
Ho2 0.0000 0.5000 0.5000  6 Pm 3.54-3.57, 6 Ho 3.64-3.66


(9)
Entry from Alexandria via LeMat-Bulk: a geometry-optimized CaPmPrHo structure (GGA-PBE).

## Properties
The total energy is -3.909 eV/atom. The energy relative to the elements is 0.1186 eV per atom. The calculation puts the energy above the most stable polymorph in this dataset at 74 meV/atom.

a = 8.2659 Å, b = 8.2659 Å, c = 8.2659 Å
α = 90.00°, β = 90.00°, γ = 90.00°
Last column: nearest neighbours and their distance in Å.
Space group F-43m (No. 216)
One atom of each set of equivalent atoms:
Ca1 0.0000 0.0000 0.0000  4 Pr 3.58, 4 Pm 3.58
Pm1 0.2500 0.2500 0.2500  4 Ho 3.58, 4 Ca 3.58
Pr1 0.2500 0.2500 0.7500  4 Ho 3.58, 4 Ca 3.58
Ho1 0.0000 0.0000 0.5000  4 Pm 3.58, 4 Pr 3.58


(10)
Entry from Alexandria via LeMat-Bulk: a geometry-optimized CaPm6Pr3Ho2 structure (GGA-PBE).

## Properties
The total energy is -4.457 eV/atom. The energy relative to the elements is 0.0425 eV per atom.

a = 6.3612 Å, b = 11.0242 Å, c = 12.0631 Å
α = 90.00°, β = 100.08°, γ = 90.00°
Last column: nearest neighbours and their distance in Å.
Space group C2/m (No. 12)
One atom of each set of equivalent atoms:
Ca1 0.0000 0.0000 0.0000  6 Pm 3.65-3.66, 6 Ho 3.67
Pm1 0.2427 0.5000 0.2481  2 Ho 3.62, 6 Pm 3.63-3.76, 3 Pr 3.64-3.68, 1 Ca 3.65
Pm2 0.2459 0.3295 0.7523  2 Ho 3.61-3.62, 6 Pm 3.63-3.76, 3 Pr 3.64-3.69, 1 Ca 3.66
Pr1 0.0000 0.1662 0.5000  6 Pm 3.64-3.69, 6 Pr 3.66-3.68
Pr2 0.0000 0.5000 0.5000  6 Pm 3.64-3.68, 6 Pr 3.67-3.68
Ho1 0.0000 0.3333 0.0000  6 Pm 3.61-3.62, 3 Ho 3.67-3.68, 3 Ca 3.67


(11)
Entry from Alexandria via LeMat-Bulk: a geometry-optimized CaPmPrHo structure (GGA-PBE).

## Properties
The total energy is -3.983 eV/atom. The energy relative to the elements is 0.0446 eV per atom. The calculation puts the energy above the most stable polymorph in this dataset at 0 meV/atom.

a = 3.6683 Å, b = 3.6683 Å, c = 10.5222 Å
α = 90.00°, β = 90.00°, γ = 90.00°
Last column: nearest neighbours and their distance in Å.
Space group P4mm (No. 99)
One atom of each set of equivalent atoms:
Ca1 0.0000 0.0000 0.0000  4 Ca 3.67, 4 Pm 3.80, 4 Pr 3.84
Pm1 0.5000 0.5000 0.7356  4 Ho 3.55, 4 Pm 3.67, 4 Ca 3.80
Pr1 0.5000 0.5000 0.2686  4 Ho 3.59, 4 Pr 3.67, 4 Ca 3.84
Ho1 0.0000 0.0000 0.5049  4 Pm 3.55, 4 Pr 3.59, 4 Ho 3.67


Respective density values: 6.7 7.1 6.8 6.2 5.5 7.4 6.2 6.8 5.8 6.6 5.8 g cm⁻³.